Entry 1:
First-principles (PBE) data for crystalline KBa2Sc at its relaxed geometry, as listed in Alexandria.

Output
E_form: 438 meV/atom
Total magnetization: 0.167 μB/atom
Crystal system: orthorhombic

```
data_KBa2Sc
_chemical_formula_sum 'K1 Ba2 Sc1'
_cell_length_a 7.5564
_cell_length_b 7.5564
_cell_length_c 7.5564
_cell_angle_alpha 144.24
_cell_angle_beta 126.31
_cell_angle_gamma 66.20
_symmetry_space_group_name_H-M 'P 1'
_symmetry_Int_Tables_number 1
loop_
_symmetry_equiv_pos_as_xyz
'x,y,z'
loop_
_atom_site_label
_atom_site_type_symbol
_atom_site_fract_x
_atom_site_fract_y
_atom_site_fract_z
Ba1 Ba 0.4819 0.4819 0.0000
K1 K 0.7500 0.2500 0.5000
Ba2 Ba 0.0181 0.0181 0.0000
Sc1 Sc 0.2500 0.7500 0.5000
```

Entry 2:
First-principles (PBE) data for crystalline KBaSc2Si at its relaxed geometry, as listed in Alexandria.

Output
Total magnetization: 0.334 μB/atom
Crystal system: tetragonal
Formation energy (no corrections): 0.188 eV per atom

```
data_KBaSc2Si
_chemical_formula_sum 'K1 Ba1 Sc2 Si1'
_cell_length_a 5.3220
_cell_length_b 6.5424
_cell_length_c 5.3220
_cell_angle_alpha 90.00
_cell_angle_beta 90.00
_cell_angle_gamma 90.00
_symmetry_space_group_name_H-M 'P 1'
_symmetry_Int_Tables_number 1
loop_
_symmetry_equiv_pos_as_xyz
'x,y,z'
loop_
_atom_site_label
_atom_site_type_symbol
_atom_site_fract_x
_atom_site_fract_y
_atom_site_fract_z
Ba1 Ba 0.0000 0.5000 0.0000
Sc1 Sc 0.5000 0.0000 0.0000
Si1 Si 0.0000 0.0000 0.0000
K1 K 0.5000 0.5000 0.5000
Sc2 Sc 0.0000 0.0000 0.5000
```

Entry 3:
First-principles (PBE) data for crystalline KBa2ScTc at its relaxed geometry, as listed in Alexandria.

Output
E_form: 429 meV/atom
Total magnetization: 0.000 μB/atom
Crystal system: tetragonal

```
data_KBa2ScTc
_chemical_formula_sum 'K1 Ba2 Sc1 Tc1'
_cell_length_a 6.2488
_cell_length_b 5.1617
_cell_length_c 6.2488
_cell_angle_alpha 90.00
_cell_angle_beta 90.00
_cell_angle_gamma 90.00
_symmetry_space_group_name_H-M 'P 1'
_symmetry_Int_Tables_number 1
loop_
_symmetry_equiv_pos_as_xyz
'x,y,z'
loop_
_atom_site_label
_atom_site_type_symbol
_atom_site_fract_x
_atom_site_fract_y
_atom_site_fract_z
K1 K 0.5000 0.5000 0.5000
Ba1 Ba 0.0000 0.0000 0.5000
Tc1 Tc 0.0000 0.0000 0.0000
Sc1 Sc 0.0000 0.5000 0.0000
Ba2 Ba 0.5000 0.0000 0.0000
```

Entry 4:
First-principles (PBE) data for crystalline KBaScV2 at its relaxed geometry, as listed in Alexandria.

Output
E_form: 1929 meV/atom
Total magnetization: 1.403 μB/atom
Crystal system: tetragonal

```
data_KBaScV2
_chemical_formula_sum 'K1 Ba1 Sc1 V2'
_cell_length_a 5.3298
_cell_length_b 5.7675
_cell_length_c 5.3298
_cell_angle_alpha 90.00
_cell_angle_beta 90.00
_cell_angle_gamma 90.00
_symmetry_space_group_name_H-M 'P 1'
_symmetry_Int_Tables_number 1
loop_
_symmetry_equiv_pos_as_xyz
'x,y,z'
loop_
_atom_site_label
_atom_site_type_symbol
_atom_site_fract_x
_atom_site_fract_y
_atom_site_fract_z
Sc1 Sc 0.5000 0.5000 0.5000
K1 K 0.0000 0.0000 0.0000
Ba1 Ba 0.0000 0.5000 0.0000
V1 V 0.5000 0.0000 0.0000
V2 V 0.0000 0.0000 0.5000
```

Entry 5:
First-principles (PBE) data for crystalline K2BaScW at its relaxed geometry, as listed in Alexandria.

Output
E_form: 1234 meV/atom
Total magnetization: 0.268 μB/atom
Crystal system: tetragonal

```
data_K2BaScW
_chemical_formula_sum 'K2 Ba1 Sc1 W1'
_cell_length_a 6.5868
_cell_length_b 5.0976
_cell_length_c 6.5868
_cell_angle_alpha 90.00
_cell_angle_beta 90.00
_cell_angle_gamma 90.00
_symmetry_space_group_name_H-M 'P 1'
_symmetry_Int_Tables_number 1
loop_
_symmetry_equiv_pos_as_xyz
'x,y,z'
loop_
_atom_site_label
_atom_site_type_symbol
_atom_site_fract_x
_atom_site_fract_y
_atom_site_fract_z
W1 W 0.0000 0.0000 0.0000
K1 K 0.0000 0.0000 0.5000
Sc1 Sc 0.0000 0.5000 0.0000
K2 K 0.5000 0.0000 0.0000
Ba1 Ba 0.5000 0.5000 0.5000
```

Entry 6:
First-principles (PBE) data for crystalline K2BaZrSc at its relaxed geometry, as listed in Alexandria.

Output
E_form: 944 meV/atom
Total magnetization: 0.258 μB/atom
Crystal system: tetragonal

```
data_K2BaZrSc
_chemical_formula_sum 'K2 Ba1 Zr1 Sc1'
_cell_length_a 6.6253
_cell_length_b 5.3407
_cell_length_c 6.6253
_cell_angle_alpha 90.00
_cell_angle_beta 90.00
_cell_angle_gamma 90.00
_symmetry_space_group_name_H-M 'P 1'
_symmetry_Int_Tables_number 1
loop_
_symmetry_equiv_pos_as_xyz
'x,y,z'
loop_
_atom_site_label
_atom_site_type_symbol
_atom_site_fract_x
_atom_site_fract_y
_atom_site_fract_z
Zr1 Zr 0.0000 0.0000 0.0000
Ba1 Ba 0.5000 0.5000 0.5000
K1 K 0.5000 0.0000 0.0000
K2 K 0.0000 0.0000 0.5000
Sc1 Sc 0.0000 0.5000 0.0000
```

What did the fourth record say?
First-principles (PBE) data for crystalline KBaScV2 at its relaxed geometry, as listed in Alexandria.

Output
E_form: 1929 meV/atom
Total magnetization: 1.403 μB/atom
Crystal system: tetragonal

```
data_KBaScV2
_chemical_formula_sum 'K1 Ba1 Sc1 V2'
_cell_length_a 5.3298
_cell_length_b 5.7675
_cell_length_c 5.3298
_cell_angle_alpha 90.00
_cell_angle_beta 90.00
_cell_angle_gamma 90.00
_symmetry_space_group_name_H-M 'P 1'
_symmetry_Int_Tables_number 1
loop_
_symmetry_equiv_pos_as_xyz
'x,y,z'
loop_
_atom_site_label
_atom_site_type_symbol
_atom_site_fract_x
_atom_site_fract_y
_atom_site_fract_z
Sc1 Sc 0.5000 0.5000 0.5000
K1 K 0.0000 0.0000 0.0000
Ba1 Ba 0.0000 0.5000 0.0000
V1 V 0.5000 0.0000 0.0000
V2 V 0.0000 0.0000 0.5000
```

What is the total magnetization in the third record?
0.000 μB/atom

The highest total magnetization belongs to which entry?
KBaScV2

Which value of total magnetization does entry 4 give?
1.403 μB/atom